{"formula": "Ca5Ga2Ag", "functional": "PBE", "state": "relaxed", "formation_energy_ev_per_atom": -0.3439, "m_tot_mub_per_cell": 0.0, "mass_density_g_cm3": 3.14, "spacegroup": "No. 140", "lattice": [[-4.033, 4.033, 7.281], [4.033, -4.033, 7.281], [4.033, 4.033, -7.281]], "species": ["Ca", "Ca", "Ca", "Ca", "Ca", "Ca", "Ca", "Ca", "Ca", "Ca", "Ga", "Ga", "Ga", "Ga", "Ag", "Ag"], "frac_coords": [[0.000, 0.000, 0.000], [0.028, 0.528, 0.840], [0.188, 0.028, 0.500], [0.312, 0.812, 0.840], [0.472, 0.312, 0.500], [0.500, 0.500, 0.000], [0.528, 0.688, 0.500], [0.688, 0.188, 0.160], [0.812, 0.972, 0.500], [0.972, 0.472, 0.160], [0.118, 0.382, 0.500], [0.382, 0.882, 0.264], [0.618, 0.118, 0.736], [0.882, 0.618, 0.500], [0.250, 0.250, 0.000], [0.750, 0.750, 0.000]]}

***

{"formula": "Ca5Ga4Ag", "functional": "PBE", "state": "relaxed", "formation_energy_ev_per_atom": -0.4101, "m_tot_mub_per_cell": 0.0, "mass_density_g_cm3": 3.91, "spacegroup": "No. 123", "lattice": [[3.702, 0.000, 0.000], [0.000, 3.702, 0.000], [0.000, 0.000, 18.179]], "species": ["Ca", "Ca", "Ca", "Ca", "Ca", "Ga", "Ga", "Ga", "Ga", "Ag"], "frac_coords": [[0.000, 0.000, 0.000], [0.000, 0.000, 0.198], [0.000, 0.000, 0.396], [0.000, 0.000, 0.604], [0.000, 0.000, 0.802], [0.500, 0.500, 0.101], [0.500, 0.500, 0.295], [0.500, 0.500, 0.705], [0.500, 0.500, 0.899], [0.500, 0.500, 0.500]]}

***

{"formula": "CaGa12Ag6", "functional": "PBE", "state": "relaxed", "formation_energy_ev_per_atom": -0.0418, "m_tot_mub_per_cell": 0.0, "mass_density_g_cm3": 6.77, "spacegroup": "No. 166", "lattice": [[5.881, 3.395, 3.122], [-5.881, 3.395, 3.122], [0.000, -6.790, 3.122]], "species": ["Ca", "Ga", "Ga", "Ga", "Ga", "Ga", "Ga", "Ga", "Ga", "Ga", "Ga", "Ga", "Ga", "Ag", "Ag", "Ag", "Ag", "Ag", "Ag"], "frac_coords": [[0.000, 0.000, 0.000], [0.107, 0.500, 0.893], [0.107, 0.893, 0.500], [0.133, 0.375, 0.375], [0.375, 0.133, 0.375], [0.375, 0.375, 0.133], [0.500, 0.107, 0.893], [0.500, 0.893, 0.107], [0.625, 0.625, 0.867], [0.625, 0.867, 0.625], [0.867, 0.625, 0.625], [0.893, 0.107, 0.500], [0.893, 0.500, 0.107], [0.282, 0.699, 0.699], [0.301, 0.301, 0.718], [0.301, 0.718, 0.301], [0.699, 0.282, 0.699], [0.699, 0.699, 0.282], [0.718, 0.301, 0.301]]}

***

{"formula": "CaGa2Ag4", "functional": "PBE", "state": "relaxed", "formation_energy_ev_per_atom": -0.2067, "m_tot_mub_per_cell": 0.0, "mass_density_g_cm3": 7.27, "spacegroup": "No. 136", "lattice": [[8.071, 0.000, 0.000], [0.000, 8.071, 0.000], [0.000, 0.000, 4.284]], "species": ["Ca", "Ca", "Ga", "Ga", "Ga", "Ga", "Ag", "Ag", "Ag", "Ag", "Ag", "Ag", "Ag", "Ag"], "frac_coords": [[0.000, 0.000, 0.000], [0.500, 0.500, 0.500], [0.213, 0.213, 0.500], [0.287, 0.713, 0.000], [0.713, 0.287, 0.000], [0.787, 0.787, 0.500], [0.090, 0.659, 0.500], [0.159, 0.410, 0.000], [0.341, 0.910, 0.500], [0.410, 0.159, 0.000], [0.590, 0.841, 0.000], [0.659, 0.090, 0.500], [0.841, 0.590, 0.000], [0.910, 0.341, 0.500]]}

***

{"formula": "Ca3Ga4Ag", "functional": "PBE", "state": "relaxed", "formation_energy_ev_per_atom": -0.2186, "m_tot_mub_per_cell": 0.0, "mass_density_g_cm3": 3.88, "spacegroup": "No. 71", "lattice": [[-2.466, 2.508, 8.763], [2.466, -2.508, 8.763], [2.466, 2.508, -8.763]], "species": ["Ca", "Ca", "Ca", "Ga", "Ga", "Ga", "Ga", "Ag"], "frac_coords": [[0.000, 0.000, 0.000], [0.295, 0.795, 0.500], [0.705, 0.205, 0.500], [0.115, 0.372, 0.743], [0.370, 0.628, 0.743], [0.630, 0.372, 0.257], [0.885, 0.628, 0.257], [0.500, 0.500, 0.000]]}

***

{"formula": "Ca2GaAg", "functional": "PBE", "state": "relaxed", "formation_energy_ev_per_atom": 0.3994, "m_tot_mub_per_cell": 0.0, "mass_density_g_cm3": 3.40, "spacegroup": "No. 71", "lattice": [[-1.724, 3.041, 6.001], [1.724, -3.041, 6.001], [1.724, 3.041, -6.001]], "species": ["Ca", "Ca", "Ga", "Ag"], "frac_coords": [[0.244, 0.244, 0.000], [0.756, 0.756, 0.000], [0.500, 0.500, 0.000], [0.000, 0.000, 0.000]]}

***

{"formula": "CaGa3Ag3", "functional": "PBE", "state": "relaxed", "formation_energy_ev_per_atom": 0.1493, "m_tot_mub_per_cell": 0.0, "mass_density_g_cm3": 5.23, "spacegroup": "No. 223", "lattice": [[7.140, 0.000, 0.000], [0.000, 7.140, 0.000], [0.000, 0.000, 7.140]], "species": ["Ca", "Ca", "Ga", "Ga", "Ga", "Ga", "Ga", "Ga", "Ag", "Ag", "Ag", "Ag", "Ag", "Ag"], "frac_coords": [[0.000, 0.000, 0.000], [0.500, 0.500, 0.500], [0.000, 0.250, 0.500], [0.000, 0.750, 0.500], [0.250, 0.500, 0.000], [0.500, 0.000, 0.250], [0.500, 0.000, 0.750], [0.750, 0.500, 0.000], [0.000, 0.500, 0.250], [0.000, 0.500, 0.750], [0.250, 0.000, 0.500], [0.500, 0.250, 0.000], [0.500, 0.750, 0.000], [0.750, 0.000, 0.500]]}

***

{"formula": "Ca4GaAg", "functional": "PBE", "state": "relaxed", "formation_energy_ev_per_atom": -0.2679, "m_tot_mub_per_cell": 0.0, "mass_density_g_cm3": 3.07, "spacegroup": "No. 123", "lattice": [[3.774, 0.000, 0.000], [0.000, 3.774, 0.000], [0.000, 0.000, 12.840]], "species": ["Ca", "Ca", "Ca", "Ca", "Ga", "Ag"], "frac_coords": [[0.000, 0.000, 0.134], [0.000, 0.000, 0.866], [0.500, 0.500, 0.361], [0.500, 0.500, 0.639], [0.500, 0.500, 0.000], [0.000, 0.000, 0.500]]}

***

Copy entry 8 word for word.
{"formula": "Ca4GaAg", "functional": "PBE", "state": "relaxed", "formation_energy_ev_per_atom": -0.2679, "m_tot_mub_per_cell": 0.0, "mass_density_g_cm3": 3.07, "spacegroup": "No. 123", "lattice": [[3.774, 0.000, 0.000], [0.000, 3.774, 0.000], [0.000, 0.000, 12.840]], "species": ["Ca", "Ca", "Ca", "Ca", "Ga", "Ag"], "frac_coords": [[0.000, 0.000, 0.134], [0.000, 0.000, 0.866], [0.500, 0.500, 0.361], [0.500, 0.500, 0.639], [0.500, 0.500, 0.000], [0.000, 0.000, 0.500]]}